# 1
Compound: Na2AcAlTe4
Source: Alexandria via LeMat-Bulk
Functional: PBE
Structure: relaxed

Cell and atoms, written as extended XYZ:
```
16
Lattice="-4.289 4.781 6.426 4.289 -4.781 6.426 4.289 4.781 -6.426" Properties=species:S:1:pos:R:3 pbc="T T T"
Na 0.000 0.000 0.000
Na -2.144 2.390 3.213
Na 0.000 4.781 0.000
Na 2.144 2.390 3.213
Ac 4.289 0.000 0.000
Ac 0.000 0.000 6.426
Al 2.144 2.390 -3.213
Al 2.144 -2.390 3.213
Te 4.289 4.301 -3.293
Te 4.289 -0.479 3.293
Te 2.062 2.390 -0.091
Te 2.227 -2.390 6.335
Te 2.062 7.171 0.091
Te 2.227 2.390 6.517
Te 0.000 5.260 3.132
Te 0.000 0.479 9.719
```

Results
mass density	5.11	g/cm³
formation energy without anion corrections	-0.91	eV/atom
D(E_F)	1.4	states/eV per cell
VASP energy	-60.712	eV per cell



# 2
Compound: Na3Ac3AlTe8
Source: Alexandria via LeMat-Bulk
Functional: PBE
Structure: relaxed

Cell and atoms, written as extended XYZ:
```
15
Lattice="4.696 2.711 7.466 -4.696 2.711 7.466 0.000 -5.422 7.466" Properties=species:S:1:pos:R:3 pbc="T T T"
Na -2.348 -1.356 7.466
Na -2.348 1.356 14.933
Na 0.000 2.711 7.466
Ac -4.696 0.000 11.200
Ac -2.348 1.356 3.733
Ac 2.348 1.356 3.733
Al 0.000 0.000 11.200
Te 0.000 0.000 5.627
Te 0.000 -2.365 9.531
Te -2.048 1.183 9.531
Te -2.048 -1.183 12.868
Te 2.048 1.183 9.531
Te 2.048 -1.183 12.868
Te 0.000 2.365 12.868
Te 0.000 0.000 16.772
```

Results
mass density	5.23	g/cm³
formation energy without anion corrections	-1.07	eV/atom
D(E_F)	15.9	states/eV per cell
VASP energy	-61.217	eV per cell



# 3
Compound: NaAcAlTl
Source: Alexandria via LeMat-Bulk
Functional: PBE
Structure: relaxed

Cell and atoms, written as extended XYZ:
```
4
Lattice="0.000 3.912 3.912 3.912 0.000 3.912 3.912 3.912 0.000" Properties=species:S:1:pos:R:3 pbc="T T T"
Na 0.000 0.000 0.000
Ac 3.912 3.912 3.912
Al 5.868 5.868 5.868
Tl 1.956 1.956 1.956
```

Results
mass density	6.68	g/cm³
energy of formation	-123.7	meV/atom
D(E_F)	2.0	states/eV per cell
VASP energy	-12.031	eV per cell



# 4
Compound: Ac2NbAl
Source: Alexandria via LeMat-Bulk
Functional: PBE
Structure: relaxed

Cell and atoms, written as extended XYZ:
```
4
Lattice="1.737 1.003 11.619 -1.737 1.003 11.619 0.000 -2.006 11.619" Properties=species:S:1:pos:R:3 pbc="T T T"
Ac 0.000 0.000 3.113
Ac 0.000 0.000 31.745
Nb 0.000 0.000 0.000
Al 0.000 0.000 17.429
```

Results
mass density	7.85	g/cm³
energy of formation	798.8	meV/atom
D(E_F)	5.2	states/eV per cell
VASP energy	-18.834	eV per cell